# 1
First-principles (PBE) data for crystalline MgSe at its relaxed geometry, as listed in Alexandria via LeMat-Bulk.

Values from the calculation:
formation energy from raw total energies: -0.650 eV per atom

a = 5.7441 Å, b = 13.6778 Å, c = 3.7317 Å
α = 90.00°, β = 90.00°, γ = 90.00°
Closest atoms and distances in Å follow each position.
Space group Cmmm (No. 65)
Symmetry-distinct sites (fractional):
Mg1 0.0000 0.0000 0.0000 [2 per cell]  2 Se 2.87
Mg2 0.0000 0.3523 0.5000 [4 per cell]  6 Se 2.74-2.75
Se1 0.0000 0.5000 0.0000 [2 per cell]  6 Mg 2.75-2.87
Se2 0.2500 0.2500 0.0000 [4 per cell]  4 Mg 2.74, 2 Se 2.87



# 2
First-principles (PBE) data for crystalline Nd12TlIn6 at its relaxed geometry, as listed in Alexandria via LeMat-Bulk.

Values from the calculation:
energy of formation: -3.6 kcal/mol of atoms

a = 14.5668 Å, b = 14.5668 Å, c = 9.9379 Å
α = 90.00°, β = 90.00°, γ = 120.00°
Closest atoms and distances in Å follow each position.
Space group R-3 (No. 148, hexagonal axes)
Symmetry-distinct sites (fractional):
Nd1 0.0524 0.2586 0.4105 [18 per cell]  3 In 3.20-3.37, 4 Nd 3.31-3.57, 1 Tl 3.56
Nd2 0.0559 0.1945 0.7565 [18 per cell]  3 In 3.22-3.31, 3 Nd 3.32-3.57, 1 Tl 3.59
Tl1 0.0000 0.0000 0.5000 [3 per cell]  12 Nd 3.56-3.59
In1 0.0673 0.2372 0.0753 [18 per cell]  6 Nd 3.20-3.37, 2 In 3.43



# 3
First-principles (PBE) data for crystalline CuSb2Ir at its relaxed geometry, as listed in Alexandria via LeMat-Bulk.

Values from the calculation:
energy above the lowest structure with this stoichiometry: 0.500 eV per atom
formation energy from raw total energies: 0.526 eV per atom

a = 6.7348 Å, b = 6.7348 Å, c = 6.7348 Å
α = 90.00°, β = 90.00°, γ = 90.00°
Closest atoms and distances in Å follow each position.
Space group F-43m (No. 216)
Symmetry-distinct sites (fractional):
Cu1 0.0000 0.0000 0.0000 [4 per cell]  4 Sb 2.92, 4 Ir 2.92
Sb1 0.0000 0.0000 0.5000 [4 per cell]  4 Sb 2.92, 4 Ir 2.92
Sb2 0.2500 0.2500 0.7500 [4 per cell]  4 Sb 2.92, 4 Cu 2.92
Ir1 0.2500 0.2500 0.2500 [4 per cell]  4 Sb 2.92, 4 Cu 2.92



Calculated density, respectively: 3.5, 7.2, 10.9 g cm⁻³.
Total moment, respectively: 0.00, 0.00, 0.00 μB per formula unit.